(1)
The following is a PBE calculation of an optimized crystal structure of Rb2PuSnTe4, from Alexandria.

Cell lengths 4.6094, 8.8033, 8.0951 Å; angles 72.83, 90.00, 90.00 degrees
Site moments in Bohr magnetons follow the coordinates.
Element x y z (fractional)
Te1 0.0000 0.3037 0.2422  -0.12
Pu1 0.0000 0.5000 0.5000  5.00
Te2 0.5000 0.6953 0.2743  -0.13
Te3 0.5000 0.3047 0.7257  -0.13
Rb1 0.5000 0.0000 0.5000  0.00
Sn1 0.5000 0.5000 0.0000  -0.04
Te4 0.0000 0.6963 0.7578  -0.12
Rb2 0.0000 0.0000 0.0000  -0.01

The formation energy from raw total energies is -0.8258 eV/atom.


(2)
The following is a PBE calculation of an optimized crystal structure of RbPu2SnTe4, from Alexandria.

Cell lengths 4.6128, 8.1474, 16.8594 Å; angles 90.00, 90.00, 106.44 degrees
Site moments in Bohr magnetons follow the coordinates.
Element x y z (fractional)
Sn1 0.8364 0.6728 0.7500  0.03
Te1 0.4572 0.9145 0.7500  -0.04
Te2 0.2627 0.5254 0.0939  -0.08
Te3 0.7373 0.4746 0.9061  -0.08
Te4 0.0000 0.0000 0.5000  -0.11
Rb1 0.8678 0.7355 0.2500  0.00
Pu1 0.6254 0.2508 0.0616  5.43
Pu2 0.3746 0.7492 0.5616  5.43
Rb2 0.1322 0.2645 0.7500  0.00
Te5 0.0000 0.0000 0.0000  -0.11
Pu3 0.6254 0.2508 0.4384  5.43
Te6 0.7373 0.4746 0.5939  -0.08
Sn2 0.1636 0.3272 0.2500  0.03
Te7 0.2627 0.5254 0.4061  -0.08
Pu4 0.3746 0.7492 0.9384  5.43
Te8 0.5428 0.0855 0.2500  -0.04

The formation energy from raw total energies is -0.7641 eV/atom.


(3)
The following is a PBE calculation of an optimized crystal structure of Rb3Pu2SnTe6, from Alexandria.

Cell lengths 8.0324, 8.0324, 8.8337 Å; angles 98.71, 98.71, 119.98 degrees
Site moments in Bohr magnetons follow the coordinates.
Element x y z (fractional)
Sn1 0.0000 0.0000 0.0000  -0.03
Rb1 0.5000 0.5000 0.5000  -0.01
Rb2 0.8375 0.1625 0.5000  -0.01
Te1 0.0661 0.4096 0.1976  -0.12
Te2 0.5904 0.9339 0.8024  -0.12
Te3 0.2783 0.2783 0.8038  -0.12
Rb3 0.1625 0.8375 0.5000  -0.01
Pu1 0.6671 0.3329 0.0000  5.06
Te4 0.9339 0.5904 0.8024  -0.12
Te5 0.4096 0.0661 0.1976  -0.12
Pu2 0.3329 0.6671 0.0000  5.06
Te6 0.7217 0.7217 0.1962  -0.12

The formation energy from raw total energies is -0.9304 eV/atom.


(4)
The following is a PBE calculation of an optimized crystal structure of Rb4Pu3SnTe8, from Alexandria.

Cell lengths 9.2735, 9.9834, 9.2736 Å; angles 117.69, 120.00, 90.00 degrees
Site moments in Bohr magnetons follow the coordinates.
Element x y z (fractional)
Te1 0.7637 0.3035 0.0394  -0.12
Rb1 0.0000 0.0000 0.5000  -0.01
Te2 0.2362 0.6966 0.4724  -0.12
Te3 0.2757 0.3035 0.0394  -0.12
Te4 0.7243 0.6965 0.9606  -0.12
Te5 0.7327 0.6980 0.4653  -0.12
Rb2 0.5000 0.0000 0.0000  0.00
Te6 0.7638 0.3034 0.5276  -0.12
Te7 0.2363 0.6965 0.9606  -0.12
Pu1 0.0000 0.5000 0.5000  5.11
Pu2 0.5000 0.5000 0.5000  5.11
Sn1 0.0000 0.5000 0.0000  -0.04
Pu3 0.5000 0.5000 0.0000  5.12
Rb3 0.5000 0.0000 0.5000  -0.01
Rb4 0.0000 0.0000 0.0000  -0.01
Te8 0.2673 0.3020 0.5347  -0.12

The formation energy from raw total energies is -0.9730 eV/atom.


(5)
The following is a PBE calculation of an optimized crystal structure of Rb3Pu3SnTe8, from Alexandria.

Cell lengths 9.0839, 9.0879, 10.0480 Å; angles 116.91, 90.00, 119.99 degrees
Site moments in Bohr magnetons follow the coordinates.
Element x y z (fractional)
Rb1 0.5000 0.5000 0.0000  -0.01
Te1 0.2357 0.9593 0.6950  -0.14
Sn1 0.0000 0.0000 0.5000  -0.02
Rb2 0.0000 0.0000 0.0000  -0.01
Te2 0.2358 0.4715 0.6950  -0.14
Te3 0.7643 0.0407 0.3050  -0.14
Pu1 0.0000 0.5000 0.5000  5.04
Te4 0.2764 0.0407 0.3051  -0.14
Pu2 0.5000 0.0000 0.5000  5.04
Te5 0.7236 0.9593 0.6949  -0.14
Rb3 0.0000 0.5000 0.0000  -0.01
Te6 0.7642 0.5285 0.3050  -0.14
Te7 0.7329 0.4657 0.6986  -0.13
Te8 0.2671 0.5343 0.3014  -0.13
Pu3 0.5000 0.5000 0.5000  5.04

The formation energy from raw total energies is -0.9037 eV/atom.


(6)
The following is a PBE calculation of an optimized crystal structure of Rb3Pu3TaTe8, from Alexandria.

Cell lengths 8.8251, 8.8258, 10.1691 Å; angles 115.72, 90.00, 120.00 degrees
Site moments in Bohr magnetons follow the coordinates.
Element x y z (fractional)
Te1 0.7557 0.9721 0.6886  -0.09
Pu1 0.5000 0.0000 0.5000  5.24
Te2 0.2164 0.9721 0.6886  -0.09
Te3 0.7836 0.0279 0.3114  -0.09
Pu2 0.0000 0.5000 0.5000  5.24
Te4 0.7346 0.4692 0.7038  -0.10
Ta1 0.0000 0.0000 0.5000  0.59
Te5 0.2654 0.5308 0.2962  -0.10
Pu3 0.5000 0.5000 0.5000  5.24
Rb1 0.0000 0.0000 0.0000  0.00
Rb2 0.5000 0.5000 0.0000  0.00
Te6 0.2443 0.0279 0.3114  -0.09
Rb3 0.0000 0.5000 0.0000  0.00
Te7 0.7835 0.5671 0.3114  -0.09
Te8 0.2165 0.4329 0.6886  -0.09

The formation energy from raw total energies is -0.8957 eV/atom.


(7)
The following is a PBE calculation of an optimized crystal structure of Rb4Tb3PuTe8, from Alexandria.

Cell lengths 9.1309, 10.0367, 9.1309 Å; angles 117.06, 120.00, 90.00 degrees
Site moments in Bohr magnetons follow the coordinates.
Element x y z (fractional)
Te1 0.2667 0.3000 0.5333  0.00
Te2 0.7651 0.3004 0.0353  -0.04
Te3 0.7333 0.7000 0.4667  0.00
Rb1 0.0000 0.0000 0.0000  0.00
Tb1 0.5000 0.5000 0.5000  0.01
Te4 0.2349 0.6996 0.4698  -0.04
Te5 0.7298 0.6996 0.9647  -0.04
Pu1 0.0000 0.5000 0.0000  5.20
Te6 0.2702 0.3004 0.0353  -0.04
Te7 0.2349 0.6996 0.9647  -0.04
Te8 0.7651 0.3004 0.5302  -0.04
Tb2 0.0000 0.5000 0.5000  0.01
Rb2 0.0000 0.0000 0.5000  0.00
Rb3 0.5000 0.0000 0.5000  0.00
Tb3 0.5000 0.5000 0.0000  0.01
Rb4 0.5000 0.0000 0.0000  0.00

The formation energy from raw total energies is -1.3112 eV/atom.


(8)
The following is a PBE calculation of an optimized crystal structure of Rb3Tb2PuTe6, from Alexandria.

Cell lengths 7.9231, 7.9231, 8.9313 Å; angles 98.51, 98.51, 120.00 degrees
Site moments in Bohr magnetons follow the coordinates.
Element x y z (fractional)
Rb1 0.8337 0.1663 0.5000  0.00
Pu1 0.0000 0.0000 0.0000  5.19
Rb2 0.1663 0.8337 0.5000  0.00
Te1 0.7297 0.7297 0.1998  -0.04
Te2 0.2703 0.2703 0.8002  -0.04
Te3 0.0666 0.4034 0.1997  -0.04
Tb1 0.6666 0.3334 0.0000  0.01
Rb3 0.5000 0.5000 0.5000  0.00
Tb2 0.3334 0.6666 0.0000  0.01
Te4 0.5966 0.9334 0.8003  -0.04
Te5 0.4034 0.0666 0.1997  -0.04
Te6 0.9334 0.5966 0.8003  -0.04

The formation energy from raw total energies is -1.2834 eV/atom.


(9)
The following is a PBE calculation of an optimized crystal structure of Rb3TbPu3Te8, from Alexandria.

Cell lengths 9.0321, 9.0326, 10.1000 Å; angles 116.55, 90.00, 120.00 degrees
Site moments in Bohr magnetons follow the coordinates.
Element x y z (fractional)
Rb1 0.0000 0.5000 0.0000  -0.01
Te1 0.2331 0.4661 0.6966  -0.12
Te2 0.2694 0.0364 0.3034  -0.12
Pu1 0.0000 0.5000 0.5000  5.09
Pu2 0.5000 0.5000 0.5000  5.09
Rb2 0.5000 0.5000 0.0000  -0.01
Te3 0.7670 0.0364 0.3034  -0.12
Te4 0.7669 0.5339 0.3034  -0.12
Rb3 0.0000 0.0000 0.0000  -0.01
Pu3 0.5000 0.0000 0.5000  5.09
Te5 0.7326 0.4653 0.6979  -0.13
Te6 0.7306 0.9636 0.6966  -0.12
Te7 0.2330 0.9636 0.6966  -0.12
Te8 0.2674 0.5347 0.3021  -0.13
Tb1 0.0000 0.0000 0.5000  0.00

The formation energy from raw total energies is -1.1214 eV/atom.


(10)
The following is a PBE calculation of an optimized crystal structure of RbTb2Pu3Te6, from Alexandria.

Cell lengths 4.4461, 9.1721, 10.0535 Å; angles 102.18, 102.77, 90.00 degrees
Site moments in Bohr magnetons follow the coordinates.
Element x y z (fractional)
Rb1 0.5000 0.0000 0.0000  0.00
Te1 0.9941 0.7272 0.9883  0.03
Pu1 0.5000 0.5000 0.0000  -5.40
Te2 0.3248 0.9038 0.6496  -0.05
Pu2 0.1624 0.8339 0.3249  5.57
Te3 0.3326 0.4162 0.6652  -0.02
Pu3 0.8376 0.1661 0.6751  5.57
Te4 0.6752 0.0962 0.3504  -0.05
Tb1 0.1690 0.3404 0.3381  0.02
Tb2 0.8310 0.6596 0.6619  0.02
Te5 0.0059 0.2728 0.0117  0.03
Te6 0.6674 0.5838 0.3348  -0.02

The formation energy from raw total energies is -1.1297 eV/atom.


(11)
The following is a PBE calculation of an optimized crystal structure of RbPu4Te6, from Alexandria.

Cell lengths 4.4997, 7.7615, 23.5839 Å; angles 90.00, 90.00, 106.85 degrees
Site moments in Bohr magnetons follow the coordinates.
Element x y z (fractional)
Te1 0.6426 0.2852 0.7500  -0.16
Pu1 0.8629 0.7259 0.5400  -5.36
Te2 0.5000 0.0000 0.5000  0.04
Te3 0.3574 0.7148 0.2500  -0.16
Pu2 0.5920 0.1841 0.8726  5.25
Rb1 0.3341 0.6681 0.7500  0.00
Te4 0.7708 0.5416 0.4186  0.03
Te5 0.5000 0.0000 0.0000  0.04
Te6 0.9594 0.9188 0.8448  -0.05
Pu3 0.5920 0.1841 0.6274  5.25
Te7 0.2292 0.4584 0.5814  0.03
Pu4 0.4080 0.8159 0.1274  5.25
Pu5 0.1371 0.2741 0.0400  -5.36
Rb2 0.6659 0.3319 0.2500  0.00
Te8 0.9594 0.9188 0.6552  -0.05
Pu6 0.1371 0.2741 0.4600  -5.36
Pu7 0.4080 0.8159 0.3726  5.25
Pu8 0.8629 0.7259 0.9600  -5.36
Te9 0.7708 0.5416 0.0814  0.03
Te10 0.0406 0.0812 0.3448  -0.05
Te11 0.0406 0.0812 0.1552  -0.05
Te12 0.2292 0.4584 0.9186  0.03

The formation energy from raw total energies is -0.9945 eV/atom.


(12)
The following is a PBE calculation of an optimized crystal structure of Rb4PuTe4, from Alexandria.

Cell lengths 8.7170, 8.7170, 9.6724 Å; angles 116.78, 116.78, 90.00 degrees
Site moments in Bohr magnetons follow the coordinates.
Element x y z (fractional)
Rb1 0.0000 0.5000 0.0000  -0.01
Te1 0.6887 0.6887 0.7729  -0.14
Te2 0.3113 0.9158 0.2271  -0.14
Pu1 0.0000 0.0000 0.0000  4.96
Rb2 0.2983 0.2983 0.5967  0.00
Te3 0.9158 0.3113 0.2271  -0.14
Te4 0.0842 0.0842 0.7729  -0.14
Rb3 0.7017 0.7017 0.4033  0.00
Rb4 0.5000 0.0000 0.0000  -0.01

The formation energy from raw total energies is -0.8548 eV/atom.